NaGa2AsSe6 | PBE | relaxed

abc: 13.855 13.843 6.483
angles: 90.00 114.52 90.00
Space group C2/c (No. 15)
One atom of each set of equivalent atoms:
Na: 0.000 0.024 0.250 [4 per cell]
Ga: 0.242 0.423 0.053 [8 per cell]
As: 0.000 0.260 0.750 [4 per cell]
Se: 0.088 0.350 0.086 [8 per cell]
Se: 0.110 0.165 0.627 [8 per cell]
Se: 0.231 0.085 0.292 [8 per cell]

Its formation energy from raw total energies is -438 meV/atom. Its total energy is -3.731 eV per atom. The size of the total moment comes out at 0.000 μB per cell.